# 1
# BeCrB, relaxed, DFT GGA-PBE
# Calculated density   4.93 g/cm³
# Energy   -83.55 eV per cell
# Magnetic moment   0.189 μB/atom
data_BeCrB
_cell_length_a 2.961
_cell_length_b 2.961
_cell_length_c 11.036
_cell_angle_alpha 90.00
_cell_angle_beta 90.00
_cell_angle_gamma 90.00
_symmetry_space_group_name_H-M 'I 4/m m m'
_symmetry_Int_Tables_number 139
_symmetry_space_group_name_Hall '-I 4 2'
loop_
_atom_site_label
_atom_site_type_symbol
_atom_site_fract_x
_atom_site_fract_y
_atom_site_fract_z
Be1 Be 0.000 0.500 0.000
Cr1 Cr 0.000 0.000 0.174
B1 B 0.000 0.000 0.374

=====

# 2
# Be2CrB2, relaxed, DFT GGA-PBE
# Calculated density   4.06 g/cm³
# Energy   -62.76 eV per cell
# Magnetic moment   0.000 μB/atom
data_Be2CrB2
_cell_length_a 2.972
_cell_length_b 2.972
_cell_length_c 8.486
_cell_angle_alpha 90.00
_cell_angle_beta 90.00
_cell_angle_gamma 90.00
_symmetry_space_group_name_H-M 'I 4/m m m'
_symmetry_Int_Tables_number 139
_symmetry_space_group_name_Hall '-I 4 2'
loop_
_atom_site_label
_atom_site_type_symbol
_atom_site_fract_x
_atom_site_fract_y
_atom_site_fract_z
Be1 Be 0.000 0.500 0.250
Cr1 Cr 0.000 0.000 0.000
B1 B 0.000 0.000 0.402

=====

# 3
# BeCr2B, relaxed, DFT GGA-PBE
# Calculated density   5.34 g/cm³
# Energy   -114.37 eV per cell
# Magnetic moment   0.000 μB/atom
data_BeCr2B
_cell_length_a 5.759
_cell_length_b 5.759
_cell_length_c 4.646
_cell_angle_alpha 90.00
_cell_angle_beta 90.00
_cell_angle_gamma 90.00
_symmetry_space_group_name_H-M 'I -4 2 d'
_symmetry_Int_Tables_number 122
_symmetry_space_group_name_Hall 'I -4 2bw'
loop_
_atom_site_label
_atom_site_type_symbol
_atom_site_fract_x
_atom_site_fract_y
_atom_site_fract_z
Be1 Be 0.000 0.000 0.000
Cr1 Cr 0.228 0.750 0.625
B1 B 0.000 0.000 0.500

=====

# 4
# Be2CrB2, relaxed, DFT GGA-PBE
# Calculated density   3.99 g/cm³
# Energy   -125.07 eV per cell
# Magnetic moment   0.001 μB/atom
data_Be2CrB2
_cell_length_a 9.233
_cell_length_b 4.139
_cell_length_c 4.161
_cell_angle_alpha 90.00
_cell_angle_beta 106.24
_cell_angle_gamma 90.00
_symmetry_space_group_name_H-M 'C 1 2/m 1'
_symmetry_Int_Tables_number 12
loop_
_symmetry_equiv_pos_as_xyz
'x,y,z'
'-x,-y,-z'
'-x,y,-z'
'x,-y,z'
'x+1/2,y+1/2,z'
'-x+1/2,-y+1/2,-z'
'-x+1/2,y+1/2,-z'
'x+1/2,-y+1/2,z'
loop_
_atom_site_label
_atom_site_type_symbol
_atom_site_fract_x
_atom_site_fract_y
_atom_site_fract_z
Be1 Be 0.083 0.249 0.247
Cr1 Cr 0.174 0.500 0.809
B1 B 0.105 0.000 0.842
B2 B 0.233 0.000 0.624

=====

# 5
# Be3CrB12, relaxed, DFT GGA-PBE
# Calculated density   2.80 g/cm³
# Energy   -573.26 eV per cell
# Magnetic moment   0.000 μB/atom
data_Be3CrB12
_cell_length_a 10.3330
_cell_length_b 10.3330
_cell_length_c 8.0270
_cell_angle_alpha 90.00
_cell_angle_beta 90.00
_cell_angle_gamma 120.00
_symmetry_space_group_name_H-M 'R 3 c'
_symmetry_Int_Tables_number 161
_symmetry_space_group_name_Hall 'R 3 -2"c'
loop_
_atom_site_label
_atom_site_type_symbol
_atom_site_fract_x
_atom_site_fract_y
_atom_site_fract_z
Be1 Be 0.0341 0.2931 0.0000
Cr1 Cr 0.0000 0.0000 0.3241
B1 B 0.0356 0.1910 0.6262
B2 B 0.0463 0.2036 0.4151
B3 B 0.1630 0.3364 0.7826
B4 B 0.1676 0.4851 0.8791

=====

# 6
# Be2CrB2, relaxed, DFT GGA-PBE
# Calculated density   3.70 g/cm³
# Energy   -62.37 eV per cell
# Magnetic moment   0.000 μB/atom
data_Be2CrB2
_cell_length_a 3.995
_cell_length_b 4.547
_cell_length_c 4.890
_cell_angle_alpha 67.92
_cell_angle_beta 87.11
_cell_angle_gamma 89.16
_symmetry_space_group_name_H-M 'P -1'
_symmetry_Int_Tables_number 2
loop_
_symmetry_equiv_pos_as_xyz
'x,y,z'
'-x,-y,-z'
loop_
_atom_site_label
_atom_site_type_symbol
_atom_site_fract_x
_atom_site_fract_y
_atom_site_fract_z
Be1 Be 0.114 0.204 0.311
Be2 Be 0.359 0.708 0.890
Cr1 Cr 0.130 0.258 0.774
B1 B 0.363 0.932 0.154
B2 B 0.380 0.531 0.351

=====

# 7
# BeCrB, relaxed, DFT GGA-PBE
# Calculated density   4.98 g/cm³
# Energy   -42.09 eV per cell
# Magnetic moment   0.000 μB/atom
data_BeCrB
_cell_length_a 2.947
_cell_length_b 2.947
_cell_length_c 5.520
_cell_angle_alpha 90.00
_cell_angle_beta 90.00
_cell_angle_gamma 90.00
_symmetry_space_group_name_H-M 'P 4/n m m'
_symmetry_Int_Tables_number 129
loop_
_symmetry_equiv_pos_as_xyz
'x,y,z'
'-x,-y,-z'
'-y+1/2,x,z'
'y+1/2,-x,-z'
'-x+1/2,-y+1/2,z'
'x+1/2,y+1/2,-z'
'y,-x+1/2,z'
'-y,x+1/2,-z'
'x+1/2,-y,-z'
'-x+1/2,y,z'
'-y,-x,-z'
'y,x,z'
'-x,y+1/2,-z'
'x,-y+1/2,z'
'y+1/2,x+1/2,-z'
'-y+1/2,-x+1/2,z'
loop_
_atom_site_label
_atom_site_type_symbol
_atom_site_fract_x
_atom_site_fract_y
_atom_site_fract_z
Be1 Be 0.250 0.750 0.000
Cr1 Cr 0.250 0.250 0.346
B1 B 0.250 0.250 0.750

=====

# 8
# Be2CrB2, relaxed, DFT GGA-PBE
# Calculated density   4.11 g/cm³
# Energy   -124.74 eV per cell
# Magnetic moment   0.000 μB/atom
data_Be2CrB2
_cell_length_a 5.996
_cell_length_b 5.818
_cell_length_c 4.247
_cell_angle_alpha 90.00
_cell_angle_beta 90.00
_cell_angle_gamma 90.00
_symmetry_space_group_name_H-M 'C m c m'
_symmetry_Int_Tables_number 63
_symmetry_space_group_name_Hall '-C 2c 2'
loop_
_atom_site_label
_atom_site_type_symbol
_atom_site_fract_x
_atom_site_fract_y
_atom_site_fract_z
Be1 Be 0.178 0.000 0.000
Cr1 Cr 0.000 0.341 0.250
B1 B 0.141 0.295 0.750

=====

# 9
# BeCrB, relaxed, DFT GGA-PBE
# Calculated density   4.82 g/cm³
# Energy   -41.51 eV per cell
# Magnetic moment   0.000 μB/atom
data_BeCrB
_cell_length_a 3.859
_cell_length_b 2.924
_cell_length_c 4.478
_cell_angle_alpha 90.00
_cell_angle_beta 101.69
_cell_angle_gamma 90.00
_symmetry_space_group_name_H-M 'P 1 21/m 1'
_symmetry_Int_Tables_number 11
loop_
_symmetry_equiv_pos_as_xyz
'x,y,z'
'-x,-y,-z'
'-x,y+1/2,-z'
'x,-y+1/2,z'
loop_
_atom_site_label
_atom_site_type_symbol
_atom_site_fract_x
_atom_site_fract_y
_atom_site_fract_z
Be1 Be 0.063 0.250 0.170
Cr1 Cr 0.434 0.250 0.752
B1 B 0.121 0.750 0.462

=====

# 10
# Be2CrB2, relaxed, DFT GGA-PBE
# Calculated density   3.78 g/cm³
# Energy   -62.44 eV per cell
# Magnetic moment   0.329 μB/atom
data_Be2CrB2
_cell_length_a 7.715
_cell_length_b 2.883
_cell_length_c 3.713
_cell_angle_alpha 90.00
_cell_angle_beta 103.07
_cell_angle_gamma 90.00
_symmetry_space_group_name_H-M 'C 1 2/m 1'
_symmetry_Int_Tables_number 12
loop_
_symmetry_equiv_pos_as_xyz
'x,y,z'
'-x,-y,-z'
'-x,y,-z'
'x,-y,z'
'x+1/2,y+1/2,z'
'-x+1/2,-y+1/2,-z'
'-x+1/2,y+1/2,-z'
'x+1/2,-y+1/2,z'
loop_
_atom_site_label
_atom_site_type_symbol
_atom_site_fract_x
_atom_site_fract_y
_atom_site_fract_z
Be1 Be 0.148 0.000 0.071
Cr1 Cr 0.000 0.500 0.500
B1 B 0.225 0.000 0.600

=====

# 11
# BeCrB, relaxed, DFT GGA-PBE
# Calculated density   4.75 g/cm³
# Energy   -83.15 eV per cell
# Magnetic moment   0.000 μB/atom
data_BeCrB
_cell_length_a 8.784
_cell_length_b 2.927
_cell_length_c 3.991
_cell_angle_alpha 90.00
_cell_angle_beta 101.92
_cell_angle_gamma 90.00
_symmetry_space_group_name_H-M 'C 1 2/m 1'
_symmetry_Int_Tables_number 12
loop_
_symmetry_equiv_pos_as_xyz
'x,y,z'
'-x,-y,-z'
'-x,y,-z'
'x,-y,z'
'x+1/2,y+1/2,z'
'-x+1/2,-y+1/2,-z'
'-x+1/2,y+1/2,-z'
'x+1/2,-y+1/2,z'
loop_
_atom_site_label
_atom_site_type_symbol
_atom_site_fract_x
_atom_site_fract_y
_atom_site_fract_z
Be1 Be 0.077 0.000 0.274
Cr1 Cr 0.139 0.500 0.826
B1 B 0.232 0.500 0.372

=====

# 12
# BeCrB, relaxed, DFT GGA-PBE
# Calculated density   4.89 g/cm³
# Energy   -84.44 eV per cell
# Magnetic moment   0.000 μB/atom
data_BeCrB
_cell_length_a 7.727
_cell_length_b 2.989
_cell_length_c 5.245
_cell_angle_alpha 90.00
_cell_angle_beta 126.42
_cell_angle_gamma 90.00
_symmetry_space_group_name_H-M 'C 1 2/m 1'
_symmetry_Int_Tables_number 12
loop_
_symmetry_equiv_pos_as_xyz
'x,y,z'
'-x,-y,-z'
'-x,y,-z'
'x,-y,z'
'x+1/2,y+1/2,z'
'-x+1/2,-y+1/2,-z'
'-x+1/2,y+1/2,-z'
'x+1/2,-y+1/2,z'
loop_
_atom_site_label
_atom_site_type_symbol
_atom_site_fract_x
_atom_site_fract_y
_atom_site_fract_z
Be1 Be 0.181 0.000 0.086
Cr1 Cr 0.076 0.500 0.333
B1 B 0.134 0.000 0.666

=====

no.,E_form (eV/atom)
1,-0.29
2,-0.19
3,0.26
4,-0.17
5,0.34
6,-0.15
7,-0.34
8,-0.15
9,-0.24
10,-0.16
11,-0.25
12,-0.36